Compound: TlCo2P
Source: Alexandria via LeMat-Bulk
Functional: PBE-GGA
Structure: optimized geometry

a b c (Å): 4.2793 4.2793 3.1135
angles (deg): 90.00 90.00 90.00
Element x y z (fractional)
Tl: 0.0000 0.0000 0.0000
Co: 0.0000 0.5000 0.5000
Co: 0.5000 0.0000 0.5000
P: 0.5000 0.5000 0.0000

Results
formation energy from the elements = 47 kJ/mol of atoms
magnetic moment = 0.4490 μB per atom
density of states at the Fermi level = 2.44 states/eV/f.u.



Compound: LiTlBiPt
Source: Alexandria via LeMat-Bulk
Functional: PBE-GGA
Structure: optimized geometry

a b c (Å): 4.9288 4.9288 4.9288
angles (deg): 60.00 60.00 60.00
Element x y z (fractional)
Li: 0.0000 0.0000 0.0000
Tl: 0.2500 0.2500 0.2500
Bi: 0.7500 0.7500 0.7500
Pt: 0.5000 0.5000 0.5000

Results
formation energy from the elements = -19 kJ/mol of atoms
magnetic moment = 0.0000 μB per atom
density of states at the Fermi level = 3.16 states/eV/f.u.



Compound: ScAuOF2
Source: Alexandria via LeMat-Bulk
Functional: PBE-GGA
Structure: optimized geometry

a b c (Å): 4.4825 4.4825 4.0781
angles (deg): 90.00 90.00 90.00
Element x y z (fractional)
Sc: 0.0000 0.0000 0.0000
Au: 0.5000 0.5000 0.5000
O: 0.5000 0.5000 0.0000
F: 0.0000 0.5000 0.5000
F: 0.5000 0.0000 0.5000

Results
excess energy over the best structure of this formula in the dataset = 1398 meV per atom
formation energy from raw total energies = -0.8457 eV per atom
magnetic moment = 0.1661 μB per atom
density of states at the Fermi level = 3.90 states/eV/f.u.



Compound: SiP4Br
Source: Alexandria via LeMat-Bulk
Functional: PBE-GGA
Structure: optimized geometry

a b c (Å): 5.7601 5.7601 5.7601
angles (deg): 60.00 60.00 60.00
Element x y z (fractional)
Si: 0.0000 0.0000 0.0000
P: 0.4036 0.4036 0.4036
P: 0.4036 0.4036 0.7891
P: 0.4036 0.7891 0.4036
P: 0.7891 0.4036 0.4036
Br: 0.7500 0.7500 0.7500

Results
formation energy from raw total energies = 0.5704 eV per atom
magnetic moment = 0.1357 μB per atom
density of states at the Fermi level = 2.58 states/eV/f.u.